No. 1
Density functional theory data (PBE) for a relaxed structure of NaLa2Au3.

a = 3.7462 Å, b = 3.7462 Å, c = 10.9934 Å
α = 90.00°, β = 90.00°, γ = 90.00°
With the nearest neighbours (Å) after each atom.
Fractional coordinates of all 6 atoms:
Au  0.0000  0.0000  0.0000  8 La 3.29
Au  0.0000  0.0000  0.6647  4 La 3.17, 4 Na 3.21
La  0.5000  0.5000  0.8224  8 Au 3.17-3.29, 1 Na 3.54
Au  0.0000  0.0000  0.3353  4 La 3.17, 4 Na 3.21
Na  0.5000  0.5000  0.5000  8 Au 3.21, 2 La 3.54
La  0.5000  0.5000  0.1776  8 Au 3.17-3.29, 1 Na 3.54

Summary:
ΔH_f (0 K) in eV per atom: -0.631
SG: P4/mmm, No. 123

No. 2
Density functional theory data (PBE) for a relaxed structure of NaTlAs.

a = 5.7204 Å, b = 7.5321 Å, c = 8.2833 Å
α = 94.06°, β = 90.00°, γ = 90.00°
With the nearest neighbours (Å) after each atom.
Fractional coordinates of all 12 atoms:
Na  0.5632  0.3600  0.3032  3 As 2.99-3.20, 1 Tl 3.27
As  0.9680  0.7568  0.8387  3 Tl 2.84-2.90, 2 Na 2.99-3.03
As  0.5320  0.7568  0.3387  3 Tl 2.84-2.90, 2 Na 2.99-3.03
Na  0.4368  0.6400  0.6968  3 As 2.99-3.20, 1 Tl 3.27
Tl  0.2890  0.0486  0.9152  3 As 2.84-2.90, 1 Tl 2.91
Na  0.9368  0.3600  0.8032  3 As 2.99-3.20, 1 Tl 3.27
Na  0.0632  0.6400  0.1968  3 As 2.99-3.20, 1 Tl 3.27
As  0.4680  0.2432  0.6613  3 Tl 2.84-2.90, 2 Na 2.99-3.03
Tl  0.7110  0.9514  0.0848  3 As 2.84-2.90, 1 Tl 2.91
Tl  0.7890  0.9514  0.5848  3 As 2.84-2.90, 1 Tl 2.91
Tl  0.2110  0.0486  0.4152  3 As 2.84-2.90, 1 Tl 2.91
As  0.0320  0.2432  0.1613  3 Tl 2.84-2.90, 2 Na 2.99-3.03

Summary:
ΔH_f (0 K) in eV per atom: -0.156
SG: P2_1/c, No. 14

No. 3
Density functional theory data (PBE) for a relaxed structure of MgZr2Ni9.

a = 3.7322 Å, b = 3.7322 Å, c = 11.0916 Å
α = 90.00°, β = 90.00°, γ = 90.00°
With the nearest neighbours (Å) after each atom.
Fractional coordinates of all 12 atoms:
Ni  0.5000  0.5000  0.3319  8 Ni 2.64-2.66, 4 Zr 2.64
Ni  0.5000  0.5000  0.6681  8 Ni 2.64-2.66, 4 Zr 2.64
Zr  0.0000  0.0000  0.3276  12 Ni 2.63-2.67
Ni  0.0000  0.5000  0.1606  2 Mg 2.58, 8 Ni 2.58-2.66, 2 Zr 2.63
Ni  0.5000  0.0000  0.1606  2 Mg 2.58, 8 Ni 2.58-2.66, 2 Zr 2.63
Ni  0.5000  0.5000  0.0000  8 Ni 2.58, 4 Mg 2.64
Zr  0.0000  0.0000  0.6724  12 Ni 2.63-2.67
Ni  0.5000  0.0000  0.5000  8 Ni 2.64, 4 Zr 2.67
Mg  0.0000  0.0000  0.0000  12 Ni 2.58-2.64
Ni  0.5000  0.0000  0.8394  8 Ni 2.58-2.66, 2 Mg 2.58, 2 Zr 2.63
Ni  0.0000  0.5000  0.8394  2 Mg 2.58, 8 Ni 2.58-2.66, 2 Zr 2.63
Ni  0.0000  0.5000  0.5000  8 Ni 2.64, 4 Zr 2.67

Summary:
ΔH_f (0 K) in eV per atom: -0.326
SG: P4/mmm, No. 123